No. 1
# CeEuInSn, optimized geometry, DFT PBE-GGA
data_CeEuInSn
_cell_length_a 5.5079
_cell_length_b 5.5079
_cell_length_c 5.5079
_cell_angle_alpha 60.00
_cell_angle_beta 60.00
_cell_angle_gamma 60.00
_space_group_name_H-M_alt 'P 1'
_space_group_IT_number 1
loop_
_space_group_symop_operation_xyz
'x,y,z'
loop_
_atom_site_label
_atom_site_type_symbol
_atom_site_fract_x
_atom_site_fract_y
_atom_site_fract_z
Ce1 Ce 0.0000 0.0000 0.0000
In1 In 0.7500 0.7500 0.7500
Sn1 Sn 0.2500 0.2500 0.2500
Eu1 Eu 0.5000 0.5000 0.5000
# Total energy: -24.86 eV per cell
# Space-group type: No. 216
# Crystal system: cubic

No. 2
# KRbOs2, optimized geometry, DFT PBE-GGA
data_KRbOs2
_cell_length_a 9.4144
_cell_length_b 9.4144
_cell_length_c 7.1395
_cell_angle_alpha 48.75
_cell_angle_beta 48.75
_cell_angle_gamma 90.00
_space_group_name_H-M_alt 'P 1'
_space_group_IT_number 1
loop_
_space_group_symop_operation_xyz
'x,y,z'
loop_
_atom_site_label
_atom_site_type_symbol
_atom_site_fract_x
_atom_site_fract_y
_atom_site_fract_z
Rb1 Rb 0.7500 0.2500 0.5000
Os1 Os 0.3750 0.3787 0.7500
Rb2 Rb 0.0000 0.0000 0.0000
Os2 Os 0.6213 0.1250 0.2500
K1 K 0.2500 0.7500 0.5000
K2 K 0.5000 0.5000 0.0000
Os3 Os 0.8750 0.8713 0.7500
Os4 Os 0.1287 0.6250 0.2500
# Total energy: -32.22 eV per cell
# Offset from the most stable computed form: 0.00 kcal/mol of atoms
# Space-group type: No. 122
# Crystal system: tetragonal

No. 3
# Pa2Al6ZnCu, optimized geometry, DFT PBE-GGA
data_Pa2Al6ZnCu
_cell_length_a 6.2440
_cell_length_b 6.2440
_cell_length_c 11.8515
_cell_angle_alpha 74.73
_cell_angle_beta 74.73
_cell_angle_gamma 60.00
_space_group_name_H-M_alt 'P 1'
_space_group_IT_number 1
loop_
_space_group_symop_operation_xyz
'x,y,z'
loop_
_atom_site_label
_atom_site_type_symbol
_atom_site_fract_x
_atom_site_fract_y
_atom_site_fract_z
Al1 Al 0.6672 0.6672 0.5928
Al2 Al 0.3328 0.3328 0.4072
Al3 Al 0.0728 0.6672 0.5928
Cu1 Cu 0.0000 0.0000 0.0000
Zn1 Zn 0.4267 0.4267 0.7199
Zn2 Zn 0.5733 0.5733 0.2801
Pa1 Pa 0.2813 0.2813 0.1561
Pa2 Pa 0.8934 0.8934 0.3199
Al4 Al 0.3433 0.7773 0.1022
Pa3 Pa 0.7187 0.7187 0.8439
Al5 Al 0.9272 0.3328 0.4072
Al6 Al 0.6672 0.0728 0.5928
Al7 Al 0.7773 0.7773 0.1022
Al8 Al 0.3328 0.9272 0.4072
Al9 Al 0.2227 0.2227 0.8978
Al10 Al 0.7773 0.3433 0.1022
Al11 Al 0.6567 0.2227 0.8978
Pa4 Pa 0.1066 0.1066 0.6802
Al12 Al 0.2227 0.6567 0.8978
Cu2 Cu 0.5000 0.5000 0.5000
# Total energy: -93.83 eV per cell
# Space-group type: No. 166
# Crystal system: trigonal